No. 1
The following is a DFT calculation (PBE) of crystalline CsLi2TmI6 at its relaxed geometry.

a b c (Å): 7.5232 7.5224 10.2930
angles (deg): 90.00 111.49 119.98
With the nearest neighbours (Å) after each atom.
Fractional coordinates of all 10 atoms:
I: 0.4463 0.0548 0.1622  2 Li 3.00-3.07, 1 Tm 3.01
I: 0.1216 0.3902 0.1622  2 Li 3.01-3.07, 1 Tm 3.01
I: 0.2067 0.2653 0.7984  2 Li 3.01-3.07, 1 Tm 3.01
I: 0.7861 0.7301 0.1622  2 Li 3.01-3.07, 1 Tm 3.01
I: 0.5467 0.9406 0.7985  2 Li 3.00-3.07, 1 Tm 3.01
I: 0.8714 0.6052 0.7982  2 Li 3.01-3.07, 1 Tm 3.01
Tm: 0.9966 0.9977 0.9803  6 I 3.01
Cs: 0.9972 0.4982 0.4802  6 I 3.90-3.91
Li: 0.3317 0.6653 0.9834  6 I 3.00-3.07
Li: 0.6613 0.3302 0.9771  6 I 3.00-3.07

## Properties
electronic total energy	-3.196	eV per atom
symmetry	P1 (1)
E_form (uncorrected)	-13.504	eV/f.u.


No. 2
The following is a DFT calculation (PBE) of crystalline LuHgPbAu at its relaxed geometry.

a b c (Å): 5.1208 5.1208 5.1208
angles (deg): 60.00 60.00 60.00
With the nearest neighbours (Å) after each atom.
Fractional coordinates of all 4 atoms:
Pb: 0.2500 0.2500 0.2500  4 Au 3.14, 4 Hg 3.14
Au: 0.0000 0.0000 0.0000  4 Pb 3.14, 4 Lu 3.14
Lu: 0.7500 0.7500 0.7500  4 Hg 3.14, 4 Au 3.14
Hg: 0.5000 0.5000 0.5000  4 Pb 3.14, 4 Lu 3.14

## Properties
electronic total energy	-3.303	eV per atom
E_form	-0.351	eV per atom
symmetry	F-43m (216)


No. 3
The following is a DFT calculation (PBE) of crystalline Cd2GaHg4Pb at its relaxed geometry.

a b c (Å): 6.0898 6.0898 7.3486
angles (deg): 114.44 114.44 90.09
With the nearest neighbours (Å) after each atom.
Fractional coordinates of all 8 atoms:
Cd: 0.2500 0.7500 0.5000  6 Hg 3.05-3.10
Cd: 0.0000 0.0000 0.0000  6 Hg 2.91-3.05
Ga: 0.7500 0.2500 0.5000  6 Hg 2.86-3.05
Hg: 0.2439 0.2439 0.4878  3 Cd 2.91-3.05, 2 Ga 3.05, 1 Pb 3.05
Hg: 0.7561 0.7561 0.5122  3 Cd 2.91-3.05, 2 Ga 3.05, 1 Pb 3.05
Hg: 0.5099 0.0099 0.0198  1 Ga 2.86, 2 Pb 3.05, 3 Cd 3.05-3.10
Hg: 0.9901 0.4901 0.9802  1 Ga 2.86, 3 Cd 3.05-3.10, 2 Pb 3.05
Pb: 0.5000 0.5000 0.0000  6 Hg 3.05

## Properties
electronic total energy	-1.135	eV per atom
E_form	0.087	eV per atom
symmetry	F222 (22)